Entry from Alexandria: YV2O4 after structural relaxation (PBE+U).

abc: 6.3226 6.3226 6.3226
angles: 60.67 60.67 60.67
Last column: magnetic moment on the atom in μB.
Element x y z (fractional)
O (0.7581, 0.2074, 0.7581)  -0.02
O (0.7581, 0.7581, 0.2074)  -0.02
Y (0.6223, 0.6223, 0.6223)  0.03
Y (0.3777, 0.3777, 0.3777)  0.03
O (0.2074, 0.7581, 0.7581)  -0.02
O (0.7610, 0.7610, 0.7610)  0.01
O (0.7926, 0.2419, 0.2419)  -0.02
V (0.0000, 0.0000, 0.5000)  2.24
O (0.2419, 0.7926, 0.2419)  -0.02
O (0.2419, 0.2419, 0.7926)  -0.02
O (0.2390, 0.2390, 0.2390)  0.01
V (0.0000, 0.0000, 0.0000)  2.56
V (0.0000, 0.5000, 0.0000)  2.24
V (0.5000, 0.0000, 0.0000)  2.24

Output
- Energy above the most stable polymorph in this dataset: 0.28 eV per formula unit
- Raw total energy: -116.2 eV per cell